Density functional theory data (PBE-GGA) for crystalline Tb4ScAl4 at its relaxed geometry.

Properties
- total magnetization (μB/f.u.) = 0.0
- space-group type = P4_2/n (86)
- formation energy from the elements (eV/atom) = -0.20

Cell: 8.6215 8.6215 5.8755 Å, 90.00 90.00 90.00°
Closest atoms and distances in Å follow each position.
Fractional coordinates of all 18 atoms:
Tb 0.0753 0.8216 0.1207  1 Sc 2.97, 4 Al 3.08-3.26, 1 Tb 3.25
Tb 0.1784 0.5753 0.6207  1 Sc 2.97, 4 Al 3.08-3.26, 1 Tb 3.25
Tb 0.3216 0.9247 0.6207  1 Sc 2.97, 4 Al 3.08-3.26, 1 Tb 3.25
Tb 0.4247 0.6784 0.1207  1 Sc 2.97, 4 Al 3.08-3.26, 1 Tb 3.25
Tb 0.5753 0.3216 0.8793  1 Sc 2.97, 4 Al 3.08-3.26, 1 Tb 3.25
Tb 0.6784 0.0753 0.3793  1 Sc 2.97, 4 Al 3.08-3.26, 1 Tb 3.25
Tb 0.8216 0.4247 0.3793  1 Sc 2.97, 4 Al 3.08-3.26, 1 Tb 3.25
Tb 0.9247 0.1784 0.8793  1 Sc 2.97, 4 Al 3.08-3.26, 1 Tb 3.25
Sc 0.2500 0.2500 0.7500  4 Al 2.88, 4 Tb 2.97
Sc 0.7500 0.7500 0.2500  4 Al 2.88, 4 Tb 2.97
Al 0.0612 0.1600 0.3668  1 Sc 2.88, 2 Al 2.90, 2 Tb 3.08-3.10
Al 0.1600 0.4388 0.1332  1 Sc 2.88, 2 Al 2.90, 2 Tb 3.08-3.10
Al 0.3400 0.0612 0.1332  1 Sc 2.88, 2 Al 2.90, 2 Tb 3.08-3.10
Al 0.4388 0.3400 0.3668  1 Sc 2.88, 2 Al 2.90, 2 Tb 3.08-3.10
Al 0.5612 0.6600 0.6332  1 Sc 2.88, 2 Al 2.90, 2 Tb 3.08-3.10
Al 0.6600 0.9388 0.8668  1 Sc 2.88, 2 Al 2.90, 2 Tb 3.08-3.10
Al 0.8400 0.5612 0.8668  1 Sc 2.88, 2 Al 2.90, 2 Tb 3.08-3.10
Al 0.9388 0.8400 0.6332  1 Sc 2.88, 2 Al 2.90, 2 Tb 3.08-3.10

---

Density functional theory data (PBE-GGA) for crystalline TbScAl at its relaxed geometry.

Properties
- total magnetization (μB/f.u.) = 0.0
- space-group type = P2_1/m (11)
- formation energy from the elements (eV/atom) = -0.29
- energy above the lowest structure with this stoichiometry (eV/atom) = 0.000

Cell: 3.5908 5.1150 8.0609 Å, 90.00 102.86 90.00°
Closest atoms and distances in Å follow each position.
Fractional coordinates of all 6 atoms:
Tb 0.0786 0.2500 0.1565  6 Al 3.13-3.17, 2 Sc 3.48
Tb 0.9214 0.7500 0.8435  6 Al 3.13-3.17, 2 Sc 3.48
Sc 0.2322 0.7500 0.4645  2 Al 2.89, 4 Sc 3.17
Sc 0.7678 0.2500 0.5355  2 Al 2.89, 4 Sc 3.17
Al 0.4117 0.2500 0.8238  2 Sc 2.89, 6 Tb 3.13-3.17
Al 0.5883 0.7500 0.1762  2 Sc 2.89, 6 Tb 3.13-3.17